Compound: ZrFe2Pt
Source: Alexandria via LeMat-Bulk
Functional: PBE
Structure: optimized geometry

a b c (Å): 5.4512 8.7306 2.7881
angles (deg): 90.00 112.14 90.00
Space group C2/m (No. 12)
Unique sites:
Zr 0.0000 0.0000 0.0000 [2 per cell]
Fe 0.2500 0.2500 0.5000 [4 per cell]
Pt 0.0000 0.5000 0.0000 [2 per cell]

Values from the calculation:
For the density of states at the Fermi level, the calculation gives 6.50 states/eV per cell. The value obtained for the final energy is -63.982 eV for the cell shown. The calculation puts the formation energy at -0.119 eV per atom.